Here is crystalline Al2Mo3C at its relaxed geometry from OQMD. Energies are from PBE.

abc: 6.886 6.886 6.886
angles: 90.00 90.00 90.00
Space group P4_132 (No. 213)
Symmetry-distinct sites (fractional):
Al (0.067, 0.067, 0.067)
Mo (0.048, 0.875, 0.702)
C (0.125, 0.625, 0.875)

Crystal system   cubic
Mass density   7.20 g/cm3
Magnetization   0.00 Bohr magnetons per cell
E   -8.383 eV per atom

---

Here is crystalline AlMo2C at its relaxed geometry from OQMD. Energies are from PBE.

abc: 3.0267 3.0267 13.4881
angles: 90.00 90.00 120.00
Space group P6_3/mmc (No. 194)
Symmetry-distinct sites (fractional):
Al (0.3333, 0.6667, 0.2500)
Mo (0.3333, 0.6667, 0.5897)
C (0.0000, 0.0000, 0.0000)

Crystal system   hexagonal
Mass density   7.17 g/cm3
Magnetization   0.00 Bohr magnetons per cell
E   -8.822 eV per atom

---

Here is crystalline AlMo2C at its relaxed geometry from OQMD. Energies are from PBE.

abc: 9.089 5.247 13.809
angles: 90.00 102.67 90.00
Space group C2/c (No. 15)
Symmetry-distinct sites (fractional):
Al (0.000, 0.084, 0.250)
Al (0.166, 0.417, 0.750)
Mo (0.054, 0.417, 0.411)
Mo (0.113, 0.083, 0.589)
Mo (0.220, 0.083, 0.911)
C (0.083, 0.250, 0.000)
C (0.250, 0.250, 0.500)

Crystal system   monoclinic
Mass density   7.16 g/cm3
Magnetization   0.02 Bohr magnetons per cell
E   -8.822 eV per atom

---

Here is crystalline Al6MoC at its relaxed geometry from OQMD. Energies are from PBE.

abc: 7.959 7.959 7.959
angles: 90.00 90.00 90.00
Space group F-43m (No. 216)
Symmetry-distinct sites (fractional):
Al (0.000, 0.000, 0.245)
Mo (0.250, 0.250, 0.750)
C (0.000, 0.000, 0.500)

Crystal system   cubic
Mass density   3.56 g/cm3
Magnetization   0.02 Bohr magnetons per cell
E   -5.140 eV per atom

---

Here is crystalline Al2Mo8C3N3 at its relaxed geometry from OQMD. Energies are from PBE.

abc: 2.9818 2.9818 24.5348
angles: 90.00 90.00 120.00
Space group P-3m1 (No. 164)
Symmetry-distinct sites (fractional):
Al (0.3333, 0.6667, 0.2472)
Mo (0.0000, 0.0000, 0.1566)
Mo (0.0000, 0.0000, 0.3349)
Mo (0.3333, 0.6667, 0.0535)
Mo (0.3333, 0.6667, 0.4437)
C (0.0000, 0.0000, 0.0000)
C (0.3333, 0.6667, 0.8912)
N (0.0000, 0.0000, 0.5000)
N (0.3333, 0.6667, 0.6128)

Crystal system   trigonal
Mass density   7.91 g/cm3
Magnetization   0.03 Bohr magnetons per cell
E   -9.183 eV per atom

---

Here is crystalline AlMo3CN at its relaxed geometry from OQMD. Energies are from PBE.

abc: 2.9902 2.9902 19.1154
angles: 90.00 90.00 120.00
Space group P-3m1 (No. 164)
Symmetry-distinct sites (fractional):
Al (0.0000, 0.0000, 0.2476)
Mo (0.0000, 0.0000, 0.0000)
Mo (0.0000, 0.0000, 0.5000)
Mo (0.3333, 0.6667, 0.6393)
Mo (0.3333, 0.6667, 0.8691)
C (0.3333, 0.6667, 0.0697)
N (0.3333, 0.6667, 0.4269)

Crystal system   trigonal
Mass density   7.65 g/cm3
Magnetization   0.07 Bohr magnetons per cell
E   -9.012 eV per atom

---

Here is crystalline Nb2Al3Mo4C3 at its relaxed geometry from OQMD. Energies are from PBE.

abc: 9.223 5.328 13.856
angles: 90.00 102.83 90.00
Space group C2/c (No. 15)
Symmetry-distinct sites (fractional):
Nb (0.052, 0.084, 0.404)
Al (0.000, 0.456, 0.250)
Al (0.186, 0.103, 0.750)
Mo (0.112, 0.417, 0.586)
Mo (0.221, 0.416, 0.914)
C (0.082, 0.247, 0.000)
C (0.250, 0.250, 0.500)

Crystal system   monoclinic
Mass density   6.87 g/cm3
Magnetization   0.01 Bohr magnetons per cell
E   -8.828 eV per atom

---

Here is crystalline AlMo4PC2 at its relaxed geometry from OQMD. Energies are from PBE.

abc: 3.1032 3.1032 12.6216
angles: 90.00 90.00 120.00
Space group P-6m2 (No. 187)
Symmetry-distinct sites (fractional):
Al (0.0000, 0.0000, 0.0000)
Mo (0.0000, 0.0000, 0.3588)
Mo (0.3333, 0.6667, 0.1739)
P (0.3333, 0.6667, 0.5000)
C (0.6667, 0.3333, 0.2614)

Crystal system   hexagonal
Mass density   7.35 g/cm3
Magnetization   0.01 Bohr magnetons per cell
E   -9.027 eV per atom

---

Here is crystalline AlMo4C2S at its relaxed geometry from OQMD. Energies are from PBE.

abc: 3.1051 3.1051 12.7147
angles: 90.00 90.00 120.00
Space group P-6m2 (No. 187)
Symmetry-distinct sites (fractional):
Al (0.0000, 0.0000, 0.0000)
Mo (0.0000, 0.0000, 0.3511)
Mo (0.3333, 0.6667, 0.1709)
C (0.6667, 0.3333, 0.2597)
S (0.3333, 0.6667, 0.5000)

Crystal system   hexagonal
Mass density   7.30 g/cm3
Magnetization   0.01 Bohr magnetons per cell
E   -8.820 eV per atom

---

Here is crystalline AlSbMo4C2 at its relaxed geometry from OQMD. Energies are from PBE.

abc: 3.1396 3.1396 13.3533
angles: 90.00 90.00 120.00
Space group P-6m2 (No. 187)
Symmetry-distinct sites (fractional):
Al (0.0000, 0.0000, 0.0000)
Sb (0.6667, 0.3333, 0.5000)
Mo (0.0000, 0.0000, 0.3291)
Mo (0.6667, 0.3333, 0.1594)
C (0.3333, 0.6667, 0.2456)

Crystal system   hexagonal
Mass density   8.11 g/cm3
Magnetization   0.03 Bohr magnetons per cell
E   -8.724 eV per atom

---

Here is crystalline AlSnMo4C2 at its relaxed geometry from OQMD. Energies are from PBE.

abc: 3.1183 3.1183 13.4901
angles: 90.00 90.00 120.00
Space group P-6m2 (No. 187)
Symmetry-distinct sites (fractional):
Al (0.0000, 0.0000, 0.0000)
Sn (0.3333, 0.6667, 0.5000)
Mo (0.0000, 0.0000, 0.3276)
Mo (0.3333, 0.6667, 0.1577)
C (0.6667, 0.3333, 0.2436)

Crystal system   hexagonal
Mass density   8.09 g/cm3
Magnetization   0.01 Bohr magnetons per cell
E   -8.744 eV per atom

---

Here is crystalline Al3Mo4W2C3 at its relaxed geometry from OQMD. Energies are from PBE.

abc: 9.078 5.240 13.854
angles: 90.00 102.63 90.00
Space group C2/c (No. 15)
Symmetry-distinct sites (fractional):
Al (0.000, 0.085, 0.250)
Al (0.166, 0.418, 0.750)
Mo (0.114, 0.081, 0.591)
Mo (0.219, 0.085, 0.909)
W (0.055, 0.416, 0.412)
C (0.083, 0.252, 0.000)
C (0.250, 0.250, 0.500)

Crystal system   monoclinic
Mass density   8.97 g/cm3
Magnetization   0.01 Bohr magnetons per cell
E   -9.120 eV per atom

---

Here is crystalline Y2Al3Mo4C3 at its relaxed geometry from OQMD. Energies are from PBE.

abc: 9.567 5.536 14.143
angles: 90.00 103.62 90.00
Space group C2/c (No. 15)
Symmetry-distinct sites (fractional):
Y (0.039, 0.081, 0.382)
Al (0.000, 0.420, 0.750)
Al (0.248, 0.161, 0.752)
Mo (0.110, 0.404, 0.577)
Mo (0.229, 0.423, 0.923)
C (0.087, 0.261, 0.000)
C (0.250, 0.250, 0.500)

Crystal system   monoclinic
Mass density   6.19 g/cm3
Magnetization   0.02 Bohr magnetons per cell
E   -8.328 eV per atom

---

Here is crystalline Nb8Al2C3N3 at its relaxed geometry from OQMD. Energies are from PBE.

abc: 3.1277 3.1277 24.3381
angles: 90.00 90.00 120.00
Space group P-3m1 (No. 164)
Symmetry-distinct sites (fractional):
Nb (0.0000, 0.0000, 0.1582)
Nb (0.0000, 0.0000, 0.3413)
Nb (0.3333, 0.6667, 0.0554)
Nb (0.3333, 0.6667, 0.4486)
Al (0.3333, 0.6667, 0.2506)
C (0.0000, 0.0000, 0.0000)
C (0.3333, 0.6667, 0.8908)
N (0.0000, 0.0000, 0.5000)
N (0.3333, 0.6667, 0.6065)

Crystal system   trigonal
Mass density   7.05 g/cm3
Magnetization   0.01 Bohr magnetons per cell
E   -9.446 eV per atom

---

Here is crystalline Nb3AlCN at its relaxed geometry from OQMD. Energies are from PBE.

abc: 3.1239 3.1239 19.1116
angles: 90.00 90.00 120.00
Space group P-3m1 (No. 164)
Symmetry-distinct sites (fractional):
Nb (0.0000, 0.0000, 0.0000)
Nb (0.0000, 0.0000, 0.5000)
Nb (0.3333, 0.6667, 0.1319)
Nb (0.3333, 0.6667, 0.3653)
Al (0.0000, 0.0000, 0.2487)
C (0.3333, 0.6667, 0.5698)
N (0.3333, 0.6667, 0.9324)

Crystal system   trigonal
Mass density   6.82 g/cm3
Magnetization   0.00 Bohr magnetons per cell
E   -9.214 eV per atom

---

Here is crystalline Ta4Al2CN at its relaxed geometry from OQMD. Energies are from PBE.

abc: 3.0332 3.0332 14.2170
angles: 90.00 90.00 120.00
Space group P-3m1 (No. 164)
Symmetry-distinct sites (fractional):
Ta (0.3333, 0.6667, 0.0904)
Ta (0.3333, 0.6667, 0.4045)
Al (0.3333, 0.6667, 0.7515)
C (0.0000, 0.0000, 0.0000)
N (0.0000, 0.0000, 0.5000)

Crystal system   trigonal
Mass density   11.78 g/cm3
Magnetization   0.00 Bohr magnetons per cell
E   -9.641 eV per atom

---

Here is crystalline Ta3AlCN at its relaxed geometry from OQMD. Energies are from PBE.

abc: 3.0941 3.0941 19.0869
angles: 90.00 90.00 120.00
Space group P-3m1 (No. 164)
Symmetry-distinct sites (fractional):
Ta (0.0000, 0.0000, 0.0000)
Ta (0.0000, 0.0000, 0.5000)
Ta (0.3333, 0.6667, 0.1325)
Ta (0.3333, 0.6667, 0.3648)
Al (0.0000, 0.0000, 0.2487)
C (0.3333, 0.6667, 0.5691)
N (0.3333, 0.6667, 0.9333)

Crystal system   trigonal
Mass density   12.50 g/cm3
Magnetization   0.00 Bohr magnetons per cell
E   -10.095 eV per atom

---

Here is crystalline Al2W4CN at its relaxed geometry from OQMD. Energies are from PBE.

abc: 2.8902 2.8902 14.5201
angles: 90.00 90.00 120.00
Space group P-3m1 (No. 164)
Symmetry-distinct sites (fractional):
Al (0.3333, 0.6667, 0.2531)
W (0.3333, 0.6667, 0.5931)
W (0.3333, 0.6667, 0.9018)
C (0.0000, 0.0000, 0.5000)
N (0.0000, 0.0000, 0.0000)

Crystal system   trigonal
Mass density   12.89 g/cm3
Magnetization   0.02 Bohr magnetons per cell
E   -9.576 eV per atom

---

Here is crystalline Zr8Al2C3N3 at its relaxed geometry from OQMD. Energies are from PBE.

abc: 3.3059 3.3059 25.0403
angles: 90.00 90.00 120.00
Space group P-3m1 (No. 164)
Symmetry-distinct sites (fractional):
Zr (0.0000, 0.0000, 0.1552)
Zr (0.0000, 0.0000, 0.3410)
Zr (0.3333, 0.6667, 0.5528)
Zr (0.3333, 0.6667, 0.9460)
Al (0.3333, 0.6667, 0.7527)
C (0.0000, 0.0000, 0.5000)
C (0.3333, 0.6667, 0.3885)
N (0.0000, 0.0000, 0.0000)
N (0.3333, 0.6667, 0.1055)

Crystal system   trigonal
Mass density   6.04 g/cm3
Magnetization   0.01 Bohr magnetons per cell
E   -9.096 eV per atom